VASP calculation (GGA-PBE) on crystalline ReSbPt3 at its relaxed geometry.

The structure in POSCAR format:
```
ReSbPt3
1.0
4.8926 0.0000 0.0000
0.0000 4.8926 0.0000
0.0000 0.0000 4.8926
Pt Sb Re
3 1 1
Cartesian
0.0000 2.4463 0.0000
2.4463 0.0000 0.0000
0.0000 0.0000 2.4463
0.0000 0.0000 0.0000
2.4463 2.4463 2.4463
```

Output
Offset from the most stable computed form: 0.533 eV per atom
DFT total energy: -26.93 eV for the cell shown
Uncorrected formation energy: 7.8 eV per formula unit